A plane-wave DFT calculation with PBE was carried out for a relaxed structure of YScGe2Au2.

The space group is P3m1. The value obtained for the relative energy among the computed polymorphs is 0.000 eV per atom.

Cell: 4.419 4.419 7.135 Å, 90.00 90.00 120.00°
Positions (direct):
Ge (0.333, 0.667, 0.196)
Ge (0.667, 0.333, 0.715)
Au (0.667, 0.333, 0.279)
Au (0.333, 0.667, 0.810)
Sc (0.000, 0.000, 0.000)
Y (0.000, 0.000, 0.501)